1.
The following is a DFT calculation (PBE-GGA) of NaHfIn2 after structural relaxation.

```
NaHfIn2
1.0
-1.927 -4.571 1.150
-3.491 -2.127 -3.035
1.215 -4.059 -2.824
Na Hf In
1 1 2
Direct
0.000 0.000 0.000
0.500 0.500 0.500
0.250 0.250 0.250
0.750 0.750 0.750
```

Summary:
Energy above the lowest structure with this stoichiometry = 17.85 kJ/mol of atoms
E_form = 0.097 eV per atom
Final energy = -16.4 eV per formula unit
Space-group type = No. 225
DOS(E_F) = 0.8696 states/eV per atom

2.
The following is a DFT calculation (PBE-GGA) of BeWSe2 after structural relaxation.

```
BeWSe2
1.0
5.141 0.007 0.000
2.025 4.726 0.000
-2.979 -3.281 2.606
Be Se W
1 2 1
Direct
0.231 0.731 0.500
0.032 0.032 0.000
0.738 0.238 0.500
0.499 0.499 0.000
```

Summary:
Formation energy from raw total energies = 532 meV per atom
Final energy = -21.5 eV per formula unit
Space-group type = No. 44
DOS(E_F) = 0.5927 states/eV per atom

3.
The following is a DFT calculation (PBE-GGA) of NaMg2Cd after structural relaxation.

```
NaMg2Cd
1.0
-0.156 -0.189 -5.128
-0.304 -4.532 -2.394
-4.343 -1.356 -2.388
Na Mg Cd
1 2 1
Direct
0.500 0.500 0.500
0.000 0.000 0.000
0.250 0.250 0.250
0.750 0.750 0.750
```

Summary:
E_form = 0.010 eV per atom
Final energy = -5.4 eV per formula unit
Space-group type = No. 216
DOS(E_F) = 0.7875 states/eV per atom

4.
The following is a DFT calculation (PBE-GGA) of SrNiSb2Te after structural relaxation.

```
SrNiSb2Te
1.0
-4.910 3.145 -1.500
-3.210 -5.091 -0.167
-1.345 0.658 5.780
Sb Te Ni Sr
2 1 1 1
Direct
0.000 0.500 0.000
0.500 0.000 0.000
0.000 0.000 0.500
0.500 0.500 0.500
0.000 0.000 0.000
```

Summary:
Energy above the lowest structure with this stoichiometry = 146.38 kJ/mol of atoms
Formation energy from raw total energies = 1204 meV per atom
Final energy = -12.8 eV per formula unit
Space-group type = No. 123
DOS(E_F) = 2.6774 states/eV per atom